The following is a DFT calculation (GGA-PBE) of a geometry-optimized CsCd structure. Values from VASP.

Geometry as Quantum ESPRESSO input:
```
&SYSTEM
  ibrav = 0, nat = 8, ntyp = 2
/
ATOMIC_SPECIES
Cs 132.91 Cs.upf
Cd 112.41 Cd.upf
CELL_PARAMETERS angstrom
7.8712 0.0000 0.0000
0.0000 7.8712 0.0000
0.0000 0.0000 7.8433
ATOMIC_POSITIONS angstrom
Cs 1.4660 1.4660 0.0000
Cs 2.4696 5.4016 3.9216
Cs 5.4016 2.4696 3.9216
Cs 6.4052 6.4052 0.0000
Cd 1.0914 1.0914 3.9216
Cd 2.8442 5.0270 0.0000
Cd 5.0270 2.8442 0.0000
Cd 6.7798 6.7798 3.9216
```

Summary:
E_form: 5.7 kJ/mol of atoms
Spin magnetization: 0.00 Bohr magnetons per cell
Raw total energy: -1.7 eV per formula unit
SG: P4_2/mnm